# ZrMn4Pb

ZrMn4Pb after structural relaxation (PBE, Alexandria via LeMat-Bulk).

Properties
Total magnetic moment in μB per cell: 15.24
ΔE_f in eV per atom: 0.138

Unit cell a=7.050 b=7.050 c=7.050 alpha=90.00 beta=90.00 gamma=90.00
Space group F-43m (No. 216)
Unique sites:
Zr 0.000 0.000 0.000 x4
Mn 0.124 0.124 0.624 x16
Pb 0.250 0.250 0.250 x4

***

# Sm4Y19Th6

Sm4Y19Th6 after structural relaxation (PBE, Alexandria via LeMat-Bulk).

Properties
Total magnetic moment in μB per cell: 0.00
ΔE_f in eV per atom: 0.429

Unit cell a=12.542 b=12.542 c=12.542 alpha=90.00 beta=90.00 gamma=90.00
Space group I23 (No. 197)
Unique sites:
Sm 0.179 0.179 0.821 x8
Y 0.000 0.000 0.000 x2
Y 0.000 0.000 0.264 x12
Y 0.065 0.260 0.278 x24
Th 0.000 0.373 0.500 x12

***

# CeBiS

CeBiS after structural relaxation (PBE, Alexandria via LeMat-Bulk).

Properties
Formation energy without anion corrections in meV/atom: -1067
Total magnetic moment in μB per cell: 0.99

Unit cell a=3.644 b=3.644 c=12.291 alpha=90.00 beta=90.00 gamma=90.00
Space group I4mm (No. 107)
Unique sites:
Ce 0.000 0.000 0.000 x2
Bi 0.000 0.000 0.293 x2
S 0.000 0.000 0.583 x2